# AlHg4Br | Alexandria via LeMat-Bulk | PBE-GGA | optimized geometry
data_AlHg4Br
_chemical_formula_sum 'Al4 Hg16 Br4'
_cell_length_a 8.8827
_cell_length_b 8.8827
_cell_length_c 8.8827
_cell_angle_alpha 90.00
_cell_angle_beta 90.00
_cell_angle_gamma 90.00
_space_group_name_H-M_alt 'F -4 3 m'
_space_group_IT_number 216
_space_group_name_Hall 'F -4 2 3'
loop_
_atom_site_label
_atom_site_type_symbol
_atom_site_fract_x
_atom_site_fract_y
_atom_site_fract_z
Al1 Al 0.0000 0.0000 0.0000
Hg1 Hg 0.1248 0.1248 0.3752
Br1 Br 0.2500 0.2500 0.7500
# Total energy, eV for the cell shown: -23.92
# Energy relative to the elements, uncorrected, eV/atom: 0.11